# ScCdW2 | the Alexandria database | PBE | relaxed
# Total magnetization ... 0.00 μB/f.u.
# Energy of formation ... 0.38 eV per atom
# Uncorrected energy ... -7.909 eV/atom
data_ScCdW2
_chemical_formula_sum 'Sc2 Cd2 W4'
_symmetry_space_group_name_H-M 'I m m 2'
_symmetry_Int_Tables_number 44
_symmetry_space_group_name_Hall 'I 2 -2'
_cell_length_a 3.5751
_cell_length_b 4.7667
_cell_length_c 8.7272
_cell_angle_alpha 90.00
_cell_angle_beta 90.00
_cell_angle_gamma 90.00
loop_
_atom_site_label
_atom_site_fract_x
_atom_site_fract_y
_atom_site_fract_z
_atom_site_occupancy
Sc1 0.0000 0.0000 0.0000 1
Cd1 0.0000 0.5000 0.2304 1
W1 0.0000 0.0000 0.4607 1
W2 0.0000 0.5000 0.7527 1

=====

# ScCdW4 | the Alexandria database | PBE | relaxed
# Total magnetization ... 0.00 μB/f.u.
# Energy of formation ... 0.35 eV per atom
# Uncorrected energy ... -9.490 eV/atom
data_ScCdW4
_chemical_formula_sum 'Sc4 Cd4 W16'
_symmetry_space_group_name_H-M 'F -4 3 m'
_symmetry_Int_Tables_number 216
_symmetry_space_group_name_Hall 'F -4 2 3'
_cell_length_a 7.6300
_cell_length_b 7.6300
_cell_length_c 7.6300
_cell_angle_alpha 90.00
_cell_angle_beta 90.00
_cell_angle_gamma 90.00
loop_
_atom_site_label
_atom_site_fract_x
_atom_site_fract_y
_atom_site_fract_z
_atom_site_occupancy
Sc1 0.0000 0.0000 0.0000 1
Cd1 0.2500 0.2500 0.2500 1
W1 0.1246 0.1246 0.6246 1

=====

# ScCd2W | the Alexandria database | PBE | relaxed
# Total magnetization ... 0.00 μB/f.u.
# Energy of formation ... 0.29 eV per atom
# Uncorrected energy ... -4.986 eV/atom
# Energy relative to the lowest polymorph listed for this composition ... 125 meV/atom
data_ScCd2W
_chemical_formula_sum 'Sc1 Cd2 W1'
_symmetry_space_group_name_H-M 'P 1 2/m 1'
_symmetry_Int_Tables_number 10
_symmetry_space_group_name_Hall '-P 2y'
_cell_length_a 2.9492
_cell_length_b 4.5009
_cell_length_c 5.7942
_cell_angle_alpha 90.00
_cell_angle_beta 90.11
_cell_angle_gamma 90.00
loop_
_atom_site_label
_atom_site_fract_x
_atom_site_fract_y
_atom_site_fract_z
_atom_site_occupancy
Sc1 0.0000 0.0000 0.0000 1
Cd1 0.4992 0.5000 0.2590 1
W1 0.0000 0.0000 0.5000 1

=====

Number 3 is which compound? ScCd2W

=====

uncorrected energy of number 1 (ScCdW2)? -7.909 eV/atom

=====

Which of these has the highest uncorrected energy? ScCd2W